[1]
Computed, not measured: a geometry-optimized Te2PbAu structure at the GGA-PBEsol level of DFT.

Lattice parameters (Å, degrees): 3.2469 3.2469 10.1231 90.00 90.00 102.84
Last column: nearest neighbours and their distance in Å.
Element x y z (fractional)
Te 0.5000 0.5000 0.7002  2 Au 2.89
Te 0.0000 0.0000 0.0126  4 Te 3.25, 2 Pb 3.46
Au 0.0000 0.0000 0.4971  2 Te 2.89, 2 Pb 2.91
Pb 0.5000 0.5000 0.2901  2 Au 2.91, 4 Pb 3.25

Results
The calculation puts the volume at 104.1 Å³/cell. The value obtained for the energy relative to the elements, uncorrected is 0.1028 eV per atom. As for the space group: No. 35. As for the crystal system: orthorhombic.

[2]
Computed, not measured: a geometry-optimized Te2PbAu structure at the GGA-PBEsol level of DFT.

Lattice parameters (Å, degrees): 3.8199 4.8907 5.5439 90.00 90.00 90.00
Last column: nearest neighbours and their distance in Å.
Element x y z (fractional)
Pb 0.0000 0.5000 0.5000  4 Au 3.10, 4 Te 3.37
Au 0.5000 0.0000 0.5000  4 Pb 3.10, 4 Te 3.37
Te 0.0000 0.0000 0.0000  4 Te 3.10, 4 Au 3.37
Te 0.5000 0.5000 0.0000  4 Te 3.10, 4 Pb 3.37

Results
The calculation puts the volume at 103.6 Å³/cell. The value obtained for the energy relative to the elements, uncorrected is 0.1554 eV per atom. As for the space group: No. 47. As for the crystal system: orthorhombic.

[3]
Computed, not measured: a geometry-optimized Te2PbAu structure at the GGA-PBEsol level of DFT.

Lattice parameters (Å, degrees): 3.9458 3.9815 7.7084 104.97 104.83 90.00
Last column: nearest neighbours and their distance in Å.
Element x y z (fractional)
Te 0.9917 0.9917 0.9835  4 Au 2.81
Au 0.4997 0.4997 0.9995  4 Te 2.81
Te 0.7032 0.2032 0.4064  4 Pb 3.16, 2 Au 3.54
Pb 0.3053 0.8053 0.6107  6 Te 3.16-3.33, 2 Au 3.43

Results
The calculation puts the volume at 112.8 Å³/cell. The value obtained for the energy relative to the elements, uncorrected is -0.0073 eV per atom. As for the space group: No. 44. As for the crystal system: orthorhombic.

[4]
Computed, not measured: a geometry-optimized Te2PbAu structure at the GGA-PBEsol level of DFT.

Lattice parameters (Å, degrees): 4.3567 4.3567 7.2316 72.47 72.47 60.00
Last column: nearest neighbours and their distance in Å.
Element x y z (fractional)
Te 0.9972 0.9972 0.0085  3 Pb 3.12, 3 Te 3.33
Te 0.7713 0.7713 0.6861  3 Au 2.74
Au 0.4916 0.4916 0.5253  3 Te 2.74, 3 Pb 3.02
Pb 0.2400 0.2400 0.2800  3 Au 3.02, 3 Te 3.12

Results
The calculation puts the volume at 111.4 Å³/cell. The value obtained for the energy relative to the elements, uncorrected is -0.0656 eV per atom. As for the space group: No. 160. As for the crystal system: trigonal.

[5]
Computed, not measured: a geometry-optimized TePb2Au structure at the GGA-PBEsol level of DFT.

Lattice parameters (Å, degrees): 4.2767 4.2767 7.5921 73.64 73.64 60.00
Last column: nearest neighbours and their distance in Å.
Element x y z (fractional)
Pb 0.7599 0.7599 0.7203  3 Au 2.93, 3 Te 3.18
Pb 0.2401 0.2401 0.2797  3 Au 2.93, 3 Te 3.18
Te 0.0000 0.0000 0.0000  6 Pb 3.18
Au 0.5000 0.5000 0.5000  6 Pb 2.93

Results
The calculation puts the volume at 113.7 Å³/cell. The value obtained for the energy relative to the elements, uncorrected is -0.1255 eV per atom. As for the space group: No. 166. As for the crystal system: trigonal.

[6]
Computed, not measured: a geometry-optimized TePb2Au structure at the GGA-PBEsol level of DFT.

Lattice parameters (Å, degrees): 3.9284 5.1859 5.1859 90.00 90.00 90.00
Last column: nearest neighbours and their distance in Å.
Element x y z (fractional)
Pb 0.0000 0.0000 0.5000  4 Te 3.25, 4 Au 3.25
Te 0.5000 0.5000 0.5000  8 Pb 3.25
Pb 0.0000 0.5000 0.0000  4 Te 3.25, 4 Au 3.25
Au 0.5000 0.0000 0.0000  8 Pb 3.25

Results
The calculation puts the volume at 105.6 Å³/cell. The value obtained for the energy relative to the elements, uncorrected is -0.0074 eV per atom. As for the space group: No. 123. As for the crystal system: tetragonal.

- The lowest energy relative to the elements, uncorrected belongs to which entry?
  number 5